1.
The following is a PBE-GGA calculation of an optimized crystal structure of LiHoPbSe3, from the Alexandria database.

Results
For the volume, the calculation gives 25.927 Å³/atom. The formation energy without anion corrections comes out at -7.47 eV per formula unit.

Cell: 8.5945 4.1333 8.9875 Å, 90.00 102.97 90.00°
Space group P2_1/m (No. 11)
Inequivalent atoms, fractional coordinates:
Li: 0.0837 0.2500 0.0854
Ho: 0.3309 0.7500 0.3346
Pb: 0.1870 0.2500 0.7365
Se: 0.1110 0.2500 0.3713
Se: 0.2197 0.7500 0.0126
Se: 0.4361 0.7500 0.6646

2.
The following is a PBE-GGA calculation of an optimized crystal structure of SnSbS, from the Alexandria database.

Results
For the volume, the calculation gives 27.851 Å³/atom. As for the excess energy over the best structure of this formula in the dataset: 0 meV/atom. The formation energy without anion corrections comes out at -0.53 eV per formula unit.

Cell: 5.7896 5.7708 10.2749 Å, 90.00 103.20 90.00°
Space group Cm (No. 8)
Inequivalent atoms, fractional coordinates:
Sn: 0.0000 0.0000 0.0000
Sn: 0.1400 0.5000 0.2940
Sb: 0.3120 0.5000 0.6142
Sb: 0.3604 0.0000 0.7137
S: 0.0000 0.5000 0.0220
S: 0.0992 0.0000 0.2649

- Look up the formation energy without anion corrections of the second one.
  -0.53 eV per formula unit